# BaTlI2N (meta-GGA SCAN, single point on PBEsol structure)
data_BaTlI2N
_symmetry_space_group_name_H-M 'P 4/m m m'
_symmetry_Int_Tables_number 123
_symmetry_space_group_name_Hall '-P 4 2'
_cell_length_a 6.665
_cell_length_b 6.665
_cell_length_c 5.042
_cell_angle_alpha 90.00
_cell_angle_beta 90.00
_cell_angle_gamma 90.00
loop_
_atom_site_label
_atom_site_fract_x
_atom_site_fract_y
_atom_site_fract_z
Ba1 0.000 0.000 0.000
Tl1 0.500 0.500 0.500
I1 0.000 0.500 0.000
N1 0.000 0.000 0.500
# ΔE_f (raw) = -216 meV per atom